(1)
A plane-wave DFT calculation with PBE-GGA was carried out for crystalline La2OsRu at its relaxed geometry.

Unit cell a=5.037 b=5.037 c=5.037 alpha=60.00 beta=60.00 gamma=60.00
Fractional positions:
La (0.250, 0.250, 0.250)
La (0.750, 0.750, 0.750)
Os (0.500, 0.500, 0.500)
Ru (0.000, 0.000, 0.000)

## Properties
As for the electronic total energy: -7.499 eV/atom. The symmetry is Fm-3m. The polymorph energy (0 for the lowest one) is 171 meV per atom. Its crystal system is cubic. Its formation energy is 91 meV per atom. The value obtained for the total magnetization is 0.000 μB/f.u. The calculation puts the density of states at the Fermi level at 3.4 states/eV/f.u. The calculated volume is 90 Å³ per cell.

***

(2)
A plane-wave DFT calculation with PBE-GGA was carried out for crystalline LaOsRu at its relaxed geometry.

Unit cell a=2.885 b=2.885 c=7.666 alpha=90.00 beta=90.00 gamma=120.00
Fractional positions:
La (0.000, 0.000, 0.999)
Ru (0.333, 0.667, 0.631)
Os (0.667, 0.333, 0.370)

## Properties
As for the electronic total energy: -7.844 eV/atom. The symmetry is P3m1. The polymorph energy (0 for the lowest one) is 742 meV per atom. Its crystal system is trigonal. Its formation energy is 634 meV per atom. The value obtained for the total magnetization is 0.000 μB/f.u. The calculation puts the density of states at the Fermi level at 2.9 states/eV/f.u. The calculated volume is 55 Å³ per cell.

***

(3)
A plane-wave DFT calculation with PBE-GGA was carried out for crystalline La3OsRu at its relaxed geometry.

Unit cell a=5.448 b=5.448 c=5.448 alpha=90.00 beta=90.00 gamma=90.00
Fractional positions:
La (0.500, 0.000, 0.000)
La (0.000, 0.500, 0.000)
La (0.000, 0.000, 0.500)
Ru (0.500, 0.500, 0.500)
Os (0.000, 0.000, 0.000)

## Properties
As for the electronic total energy: -6.579 eV/atom. The symmetry is Pm-3m. The polymorph energy (0 for the lowest one) is 0 meV per atom. Its crystal system is cubic. Its formation energy is 478 meV per atom. The value obtained for the total magnetization is 0.449 μB/f.u. The calculation puts the density of states at the Fermi level at 6.8 states/eV/f.u. The calculated volume is 162 Å³ per cell.

***

(4)
A plane-wave DFT calculation with PBE-GGA was carried out for crystalline La2OsRu at its relaxed geometry.

Unit cell a=9.704 b=9.704 c=9.704 alpha=19.09 beta=19.09 gamma=19.09
Fractional positions:
La (0.243, 0.243, 0.243)
La (0.008, 0.008, 0.008)
Ru (0.759, 0.759, 0.759)
Os (0.491, 0.491, 0.491)

## Properties
As for the electronic total energy: -6.851 eV/atom. The symmetry is R3m. The polymorph energy (0 for the lowest one) is 820 meV per atom. Its crystal system is trigonal. Its formation energy is 739 meV per atom. The value obtained for the total magnetization is 0.701 μB/f.u. The calculation puts the density of states at the Fermi level at 4.8 states/eV/f.u. The calculated volume is 85 Å³ per cell.

***

(5)
A plane-wave DFT calculation with PBE-GGA was carried out for crystalline La2Os3Ru at its relaxed geometry.

Unit cell a=5.345 b=5.345 c=5.649 alpha=89.15 beta=118.67 gamma=120.57
Fractional positions:
Ru (0.000, 0.000, 0.000)
La (0.249, 0.625, 0.874)
La (0.751, 0.375, 0.126)
Os (0.000, 0.000, 0.500)
Os (0.500, 0.500, 0.500)
Os (0.500, 0.000, 0.500)

## Properties
As for the electronic total energy: -8.882 eV/atom. The symmetry is C2/m. Its crystal system is monoclinic. Its formation energy is -79 meV per atom. The value obtained for the total magnetization is 0.000 μB/f.u. The calculation puts the density of states at the Fermi level at 7.5 states/eV/f.u. The calculated volume is 116 Å³ per cell.

***

(6)
A plane-wave DFT calculation with PBE-GGA was carried out for crystalline LaOsRu2 at its relaxed geometry.

Unit cell a=6.630 b=4.960 c=2.912 alpha=89.99 beta=63.96 gamma=122.65
Fractional positions:
Ru (0.500, 0.000, 0.500)
Ru (0.000, 0.000, 0.000)
Os (0.500, 0.500, 0.000)
La (0.000, 0.500, 0.500)

## Properties
As for the electronic total energy: -8.239 eV/atom. The symmetry is Cmmm. The polymorph energy (0 for the lowest one) is 170 meV per atom. Its crystal system is orthorhombic. Its formation energy is 439 meV per atom. The value obtained for the total magnetization is 0.000 μB/f.u. The calculation puts the density of states at the Fermi level at 5.8 states/eV/f.u. The calculated volume is 69 Å³ per cell.